# SrAl2Se2

A crystal of SrAl2Se2 relaxed with PBEsol (meta-GGA SCAN, the Alexandria database).

## Properties
Space-group type: I4/mmm, No. 139
Formation energy from raw total energies: -0.69 eV per atom
Calculated volume: 115.8 Å³ per cell
Final energy: -16.278 eV per atom
M_tot: 0.00 μB per formula unit

```
SrAl2Se2
1.0
-2.907 1.454 -1.976
-2.447 -1.947 2.166
2.289 6.406 5.006
Al Sr Se
2 1 2
Cartesian
-1.647 3.807 1.562
-1.417 2.106 3.633
0.000 0.000 0.000
-2.759 1.065 1.181
-0.305 4.848 4.015
```